## CdPd8Au5 (GGA-PBE)

Data for a geometry-optimized CdPd8Au5 structure.

The total magnetization comes out at 0.00 μB/cell. Its total energy is -0.1528 Ha/atom. For the energy relative to the elements, the calculation gives 0.05 eV/atom. Its calculated density is 12.90 g/cm3.

It has space group I-4 (No. 82), with a = 7.574 Å, b = 7.574 Å, c = 8.747 Å, α = 90.00°, β = 90.00° and γ = 90.00°. The inequivalent atoms are Cd at (0.000, 0.000, 0.000), Pd at (0.074, 0.832, 0.377), Pd at (0.088, 0.662, 0.989), Au at (0.000, 0.500, 0.250) and Au at (0.142, 0.718, 0.683).

=====

## CdPd5Au (GGA-PBE)

Data for a geometry-optimized CdPd5Au structure.

The total magnetization comes out at 0.00 μB/cell. Its total energy is -0.1381 Ha/atom. For the energy relative to the elements, the calculation gives 0.55 eV/atom. Its calculated density is 8.45 g/cm3.

It has space group Imm2 (No. 44), with a = 5.039 Å, b = 8.955 Å, c = 7.332 Å, α = 90.00°, β = 90.00° and γ = 90.00°. The inequivalent atoms are Cd at (0.000, 0.000, 0.000), Pd at (0.000, 0.252, 0.485), Pd at (0.000, 0.500, 0.659), Pd at (0.247, 0.000, 0.464) and Au at (0.000, 0.500, 0.283).

=====

## CdPd2Au6 (GGA-PBE)

Data for a geometry-optimized CdPd2Au6 structure.

The total magnetization comes out at 0.00 μB/cell. Its total energy is -0.1286 Ha/atom. For the energy relative to the elements, the calculation gives -0.06 eV/atom. Its calculated density is 15.26 g/cm3.

It has space group C2/m (No. 12), with a = 9.700 Å, b = 7.969 Å, c = 4.837 Å, α = 90.00°, β = 118.65° and γ = 90.00°. The inequivalent atoms are Cd at (0.000, 0.000, 0.000), Pd at (0.169, 0.500, 0.669), Au at (0.000, 0.192, 0.500) and Au at (0.170, 0.320, 0.170).

=====

## CdPd5Au2 (GGA-PBE)

Data for a geometry-optimized CdPd5Au2 structure.

The total magnetization comes out at 0.00 μB/cell. Its total energy is -0.1598 Ha/atom. For the energy relative to the elements, the calculation gives -0.17 eV/atom. Its calculated density is 13.06 g/cm3.

It has space group Pbam (No. 55), with a = 5.740 Å, b = 11.482 Å, c = 4.006 Å, α = 90.00°, β = 90.00° and γ = 90.00°. The inequivalent atoms are Cd at (0.000, 0.000, 0.000), Pd at (0.000, 0.500, 0.000), Pd at (0.007, 0.250, 0.000), Pd at (0.247, 0.875, 0.500) and Au at (0.240, 0.628, 0.500).

=====

## CdPd4Au3 (GGA-PBE)

Data for a geometry-optimized CdPd4Au3 structure.

The total magnetization comes out at 0.00 μB/cell. Its total energy is -0.1459 Ha/atom. For the energy relative to the elements, the calculation gives -0.03 eV/atom. Its calculated density is 13.34 g/cm3.

It has space group Imm2 (No. 44), with a = 5.516 Å, b = 9.412 Å, c = 5.414 Å, α = 90.00°, β = 90.00° and γ = 90.00°. The inequivalent atoms are Cd at (0.000, 0.000, 0.000), Pd at (0.000, 0.251, 0.238), Pd at (0.249, 0.500, 0.990), Au at (0.000, 0.250, 0.738) and Au at (0.000, 0.500, 0.479).

=====

## CdPdAu3 (GGA-PBE)

Data for a geometry-optimized CdPdAu3 structure.

The total magnetization comes out at 0.00 μB/cell. Its total energy is -0.0953 Ha/atom. For the energy relative to the elements, the calculation gives 0.60 eV/atom. Its calculated density is 10.47 g/cm3.

It has space group Pm-3m (No. 221), with a = 5.045 Å, b = 5.045 Å, c = 5.045 Å, α = 90.00°, β = 90.00° and γ = 90.00°. The inequivalent atoms are Cd at (0.000, 0.000, 0.000), Pd at (0.500, 0.500, 0.500) and Au at (0.000, 0.500, 0.500).

=====

## Cd5Pd2Au4 (GGA-PBE)

Data for a geometry-optimized Cd5Pd2Au4 structure.

The total magnetization comes out at 0.00 μB/cell. Its total energy is -0.1018 Ha/atom. For the energy relative to the elements, the calculation gives -0.22 eV/atom. Its calculated density is 12.31 g/cm3.

It has space group Pbam (No. 55), with a = 5.813 Å, b = 16.447 Å, c = 4.409 Å, α = 90.00°, β = 90.00° and γ = 90.00°. The inequivalent atoms are Cd at (0.000, 0.000, 0.000), Cd at (0.056, 0.399, 0.000), Cd at (0.113, 0.209, 0.000), Pd at (0.078, 0.702, 0.500), Au at (0.124, 0.872, 0.500) and Au at (0.212, 0.537, 0.500).

=====

## CdPd2Au2 (GGA-PBE)

Data for a geometry-optimized CdPd2Au2 structure.

The total magnetization comes out at 0.00 μB/cell. Its total energy is -0.1304 Ha/atom. For the energy relative to the elements, the calculation gives 0.02 eV/atom. Its calculated density is 12.22 g/cm3.

It has space group I4/mmm (No. 139), with a = 3.807 Å, b = 3.807 Å, c = 13.484 Å, α = 90.00°, β = 90.00° and γ = 90.00°. The inequivalent atoms are Cd at (0.000, 0.000, 0.000), Pd at (0.000, 0.000, 0.403) and Au at (0.000, 0.500, 0.250).

=====

## CdPd3Au7 (GGA-PBE)

Data for a geometry-optimized CdPd3Au7 structure.

The total magnetization comes out at 0.00 μB/cell. Its total energy is -0.1288 Ha/atom. For the energy relative to the elements, the calculation gives 0.08 eV/atom. Its calculated density is 14.26 g/cm3.

It has space group C2/m (No. 12), with a = 9.788 Å, b = 9.946 Å, c = 5.054 Å, α = 90.00°, β = 121.02° and γ = 90.00°. The inequivalent atoms are Cd at (0.000, 0.000, 0.000), Pd at (0.000, 0.267, 0.500), Pd at (0.000, 0.500, 0.000), Au at (0.000, 0.000, 0.500), Au at (0.171, 0.262, 0.171) and Au at (0.173, 0.500, 0.671).

=====

## Cd3Pd2Au8 (GGA-PBE)

Data for a geometry-optimized Cd3Pd2Au8 structure.

The total magnetization comes out at 0.00 μB/cell. Its total energy is -0.1110 Ha/atom. For the energy relative to the elements, the calculation gives 0.01 eV/atom. Its calculated density is 13.47 g/cm3.

It has space group R-3m (No. 166, hexagonal axes), with a = 5.4219 Å, b = 5.4219 Å, c = 30.8771 Å, α = 90.00°, β = 90.00° and γ = 120.00°. The inequivalent atoms are Cd at (0.0000, 0.0000, 0.0000), Cd at (0.0000, 0.0000, 0.1832), Pd at (0.0000, 0.0000, 0.3602), Au at (0.0000, 0.0000, 0.2751) and Au at (0.0008, 0.5004, 0.7692).

=====

## Cd7Pd2Au2 (GGA-PBE)

Data for a geometry-optimized Cd7Pd2Au2 structure.

The total magnetization comes out at 0.00 μB/cell. Its total energy is -0.0863 Ha/atom. For the energy relative to the elements, the calculation gives -0.23 eV/atom. Its calculated density is 10.63 g/cm3.

It has space group Imm2 (No. 44), with a = 4.460 Å, b = 12.761 Å, c = 7.651 Å, α = 90.00°, β = 90.00° and γ = 90.00°. The inequivalent atoms are Cd at (0.000, 0.000, 0.000), Cd at (0.000, 0.145, 0.341), Cd at (0.000, 0.343, 0.559), Cd at (0.000, 0.357, 0.144), Pd at (0.000, 0.208, 0.853), Au at (0.000, 0.000, 0.634) and Au at (0.000, 0.500, 0.830).

=====

## Cd7Pd2Au2 (GGA-PBE)

Data for a geometry-optimized Cd7Pd2Au2 structure.

The total magnetization comes out at 0.00 μB/cell. Its total energy is -0.0829 Ha/atom. For the energy relative to the elements, the calculation gives -0.13 eV/atom. Its calculated density is 9.88 g/cm3.

It has space group Cmmm (No. 65), with a = 5.894 Å, b = 9.989 Å, c = 7.957 Å, α = 90.00°, β = 90.00° and γ = 90.00°. The inequivalent atoms are Cd at (0.000, 0.000, 0.000), Cd at (0.000, 0.500, 0.191), Cd at (0.250, 0.250, 0.305), Pd at (0.000, 0.269, 0.000) and Au at (0.237, 0.000, 0.500).

=====

## Cd2PdAu (GGA-PBE)

Data for a geometry-optimized Cd2PdAu structure.

The total magnetization comes out at 0.00 μB/cell. Its total energy is -0.1054 Ha/atom. For the energy relative to the elements, the calculation gives -0.29 eV/atom. Its calculated density is 11.91 g/cm3.

It has space group P4/mmm (No. 123), with a = 4.391 Å, b = 4.391 Å, c = 3.818 Å, α = 90.00°, β = 90.00° and γ = 90.00°. The inequivalent atoms are Cd at (0.000, 0.500, 0.000), Pd at (0.000, 0.000, 0.500) and Au at (0.500, 0.500, 0.500).

=====

## Cd4Pd5Au (GGA-PBE)

Data for a geometry-optimized Cd4Pd5Au structure.

The total magnetization comes out at 0.00 μB/cell. Its total energy is -0.1338 Ha/atom. For the energy relative to the elements, the calculation gives -0.35 eV/atom. Its calculated density is 11.27 g/cm3.

It has space group P4/mmm (No. 123), with a = 3.349 Å, b = 3.349 Å, c = 15.478 Å, α = 90.00°, β = 90.00° and γ = 90.00°. The inequivalent atoms are Cd at (0.000, 0.000, 0.101), Cd at (0.000, 0.000, 0.304), Pd at (0.500, 0.500, 0.000), Pd at (0.500, 0.500, 0.201), Pd at (0.500, 0.500, 0.401) and Au at (0.000, 0.000, 0.500).

=====

## Cd3PdAu2 (GGA-PBE)

Data for a geometry-optimized Cd3PdAu2 structure.

The total magnetization comes out at 0.00 μB/cell. Its total energy is -0.0979 Ha/atom. For the energy relative to the elements, the calculation gives -0.25 eV/atom. Its calculated density is 12.33 g/cm3.

It has space group Cmmm (No. 65), with a = 4.474 Å, b = 13.500 Å, c = 7.471 Å, α = 90.00°, β = 90.00° and γ = 90.00°. The inequivalent atoms are Cd at (0.000, 0.000, 0.247), Cd at (0.000, 0.330, 0.240), Pd at (0.000, 0.163, 0.000), Au at (0.000, 0.165, 0.500), Au at (0.000, 0.500, 0.000) and Au at (0.000, 0.500, 0.500).

=====

## Cd2Pd4Au3 (GGA-PBE)

Data for a geometry-optimized Cd2Pd4Au3 structure.

The total magnetization comes out at 0.00 μB/cell. Its total energy is -0.1417 Ha/atom. For the energy relative to the elements, the calculation gives -0.25 eV/atom. Its calculated density is 13.35 g/cm3.

It has space group P-1 (No. 2), with a = 4.117 Å, b = 4.936 Å, c = 8.715 Å, α = 104.81°, β = 90.16° and γ = 114.64°. The inequivalent atoms are Cd at (0.170, 0.339, 0.218), Pd at (0.165, 0.330, 0.888), Pd at (0.496, 0.991, 0.666), Au at (0.163, 0.326, 0.556) and Au at (0.500, 0.000, 0.000).

=====

## Cd2Pd9Au (GGA-PBE)

Data for a geometry-optimized Cd2Pd9Au structure.

The total magnetization comes out at 0.00 μB/cell. Its total energy is -0.1651 Ha/atom. For the energy relative to the elements, the calculation gives -0.17 eV/atom. Its calculated density is 11.68 g/cm3.

It has space group P4/mmm (No. 123), with a = 4.026 Å, b = 4.026 Å, c = 12.104 Å, α = 90.00°, β = 90.00° and γ = 90.00°. The inequivalent atoms are Cd at (0.000, 0.000, 0.167), Pd at (0.000, 0.500, 0.000), Pd at (0.000, 0.500, 0.335), Pd at (0.500, 0.500, 0.168), Pd at (0.500, 0.500, 0.500) and Au at (0.000, 0.000, 0.500).

=====

## CdPd2Au2 (GGA-PBE)

Data for a geometry-optimized CdPd2Au2 structure.

The total magnetization comes out at 0.00 μB/cell. Its total energy is -0.1298 Ha/atom. For the energy relative to the elements, the calculation gives 0.04 eV/atom. Its calculated density is 12.41 g/cm3.

It has space group I4/mmm (No. 139), with a = 3.766 Å, b = 3.766 Å, c = 13.578 Å, α = 90.00°, β = 90.00° and γ = 90.00°. The inequivalent atoms are Cd at (0.000, 0.000, 0.000), Pd at (0.000, 0.500, 0.250) and Au at (0.000, 0.000, 0.400).

=====

## Cd2Pd6Au (GGA-PBE)

Data for a geometry-optimized Cd2Pd6Au structure.

The total magnetization comes out at 0.00 μB/cell. Its total energy is -0.1520 Ha/atom. For the energy relative to the elements, the calculation gives -0.11 eV/atom. Its calculated density is 11.35 g/cm3.

It has space group C2/m (No. 12), with a = 14.457 Å, b = 7.753 Å, c = 2.821 Å, α = 90.00°, β = 101.23° and γ = 90.00°. The inequivalent atoms are Cd at (0.167, 0.000, 0.170), Pd at (0.000, 0.185, 0.000), Pd at (0.167, 0.312, 0.668) and Au at (0.000, 0.500, 0.500).

=====

## Cd2Pd3Au2 (GGA-PBE)

Data for a geometry-optimized Cd2Pd3Au2 structure.

The total magnetization comes out at 0.00 μB/cell. Its total energy is -0.1341 Ha/atom. For the energy relative to the elements, the calculation gives -0.23 eV/atom. Its calculated density is 12.66 g/cm3.

It has space group C2/m (No. 12), with a = 7.992 Å, b = 4.615 Å, c = 7.181 Å, α = 90.00°, β = 111.66° and γ = 90.00°. The inequivalent atoms are Cd at (0.082, 0.000, 0.245), Pd at (0.000, 0.500, 0.500), Pd at (0.219, 0.000, 0.659) and Au at (0.138, 0.500, 0.915).

=====

## Cd2Pd4Au (GGA-PBE)

Data for a geometry-optimized Cd2Pd4Au structure.

The total magnetization comes out at 0.00 μB/cell. Its total energy is -0.1170 Ha/atom. For the energy relative to the elements, the calculation gives 0.51 eV/atom. Its calculated density is 8.43 g/cm3.

It has space group I4/mmm (No. 139), with a = 4.968 Å, b = 4.968 Å, c = 13.530 Å, α = 90.00°, β = 90.00° and γ = 90.00°. The inequivalent atoms are Cd at (0.000, 0.000, 0.111), Pd at (0.000, 0.000, 0.305), Pd at (0.000, 0.500, 0.000) and Au at (0.000, 0.000, 0.500).

=====

## Cd3Pd2Au (GGA-PBE)

Data for a geometry-optimized Cd3Pd2Au structure.

The total magnetization comes out at 0.00 μB/cell. Its total energy is -0.1124 Ha/atom. For the energy relative to the elements, the calculation gives -0.32 eV/atom. Its calculated density is 11.39 g/cm3.

It has space group P4/mmm (No. 123), with a = 3.116 Å, b = 3.116 Å, c = 11.217 Å, α = 90.00°, β = 90.00° and γ = 90.00°. The inequivalent atoms are Cd at (0.000, 0.000, 0.000), Cd at (0.000, 0.000, 0.322), Pd at (0.500, 0.500, 0.161) and Au at (0.500, 0.500, 0.500).

=====

## Cd2PdAu (GGA-PBE)

Data for a geometry-optimized Cd2PdAu structure.

The total magnetization comes out at 0.00 μB/cell. Its total energy is -0.1054 Ha/atom. For the energy relative to the elements, the calculation gives -0.29 eV/atom. Its calculated density is 11.88 g/cm3.

It has space group P4/mmm (No. 123), with a = 3.434 Å, b = 3.434 Å, c = 6.264 Å, α = 90.00°, β = 90.00° and γ = 90.00°. The inequivalent atoms are Cd at (0.000, 0.000, 0.241), Pd at (0.500, 0.500, 0.000) and Au at (0.500, 0.500, 0.500).